16
Lattice="6.163 -2.923 0.000 6.163 2.923 0.000 -3.292 0.000 5.481" Properties=species:S:1:pos:R:3 comment="Na4PuCu3O8 | Alexandria via LeMat-Bulk | PBE | relaxed" magmom_total_mub_per_cell=0.8 raw_formation_energy_mev_per_atom=-1463 vol_a3_per_cell=197.47 rho_g_cm3=5.50 space_group="C2/m, No. 12" n_ef_per_ev_cell=6.22 pbc="T T T"
Na 0.000 0.000 0.000
Na 1.436 1.462 2.740
Na 1.436 -1.462 2.740
Na 6.163 0.000 0.000
Pu -1.646 0.000 2.740
Cu 3.081 1.462 0.000
Cu 3.081 -1.462 0.000
Cu 4.517 0.000 2.740
O 0.177 0.000 4.215
O 3.563 1.446 3.780
O 2.310 0.000 0.995
O 5.471 1.446 1.701
O 3.563 -1.446 3.780
O 6.724 0.000 4.485
O 5.471 -1.446 1.701
O 8.857 0.000 1.265